Entry w
Computed, not measured: a relaxed structure of CdNiCl4 at the GGA-PBE level of DFT.

Unit cell a=12.8953 b=3.6696 c=6.4886 alpha=90.00 beta=101.55 gamma=90.00
With the nearest neighbours (Å) after each atom.
Positions (direct):
Cd1 0.0000 0.0000 0.0000  6 Cl 2.64-2.66
Cd2 0.5000 0.5000 0.0000  6 Cl 2.64-2.66
Ni1 0.0000 0.5000 0.5000  6 Cl 2.41-2.45
Ni2 0.5000 0.0000 0.5000  6 Cl 2.41-2.45
Cl1 0.1048 0.0000 0.3979  2 Ni 2.45, 1 Cd 2.66
Cl2 0.1112 0.5000 0.8470  1 Ni 2.41, 2 Cd 2.64
Cl3 0.3888 0.0000 0.1530  1 Ni 2.41, 2 Cd 2.64
Cl4 0.3952 0.5000 0.6021  2 Ni 2.45, 1 Cd 2.66
Cl5 0.6048 0.5000 0.3979  2 Ni 2.45, 1 Cd 2.66
Cl6 0.6112 0.0000 0.8470  1 Ni 2.41, 2 Cd 2.64
Cl7 0.8888 0.5000 0.1530  1 Ni 2.41, 2 Cd 2.64
Cl8 0.8952 0.0000 0.6021  2 Ni 2.45, 1 Cd 2.66

---

Entry x
Computed, not measured: a relaxed structure of CdNiCl4 at the GGA-PBE level of DFT.

Unit cell a=6.9172 b=6.9172 c=6.9619 alpha=90.00 beta=90.00 gamma=90.00
With the nearest neighbours (Å) after each atom.
Positions (direct):
Cd1 0.0000 0.0000 0.0000  4 Cl 2.55
Cd2 0.5000 0.5000 0.5000  4 Cl 2.55
Ni1 0.0000 0.5000 0.2500  4 Cl 2.19
Ni2 0.5000 0.0000 0.7500  4 Cl 2.19
Cl1 0.1599 0.7734 0.2406  1 Ni 2.19
Cl2 0.2266 0.1599 0.7594  1 Ni 2.19
Cl3 0.2734 0.3401 0.2594  1 Ni 2.19
Cl4 0.3401 0.7266 0.7406  1 Ni 2.19
Cl5 0.6599 0.2734 0.7406  1 Ni 2.19
Cl6 0.7266 0.6599 0.2594  1 Ni 2.19
Cl7 0.7734 0.8401 0.7594  1 Ni 2.19
Cl8 0.8401 0.2266 0.2406  1 Ni 2.19

---

Entry y
Computed, not measured: a relaxed structure of CdNiCl4 at the GGA-PBE level of DFT.

Unit cell a=5.8733 b=5.8733 c=5.8733 alpha=60.00 beta=60.00 gamma=60.00
With the nearest neighbours (Å) after each atom.
Positions (direct):
Cd1 0.0000 0.0000 0.0000  12 Cl 3.44, 4 Ni 3.60
Ni1 0.2500 0.2500 0.2500  12 Cl 3.44, 4 Cd 3.60
Cl1 0.1245 0.6252 0.6252  6 Cl 2.93-2.94
Cl2 0.6252 0.1245 0.6252  6 Cl 2.93-2.94
Cl3 0.6252 0.6252 0.1245  6 Cl 2.93-2.94
Cl4 0.6252 0.6252 0.6252  6 Cl 2.93-2.94

## Properties
Its density of states at the Fermi level is 9.80 states/eV/cell.

---

Which structure is most stable, and how do the rest compare? From most to least stable: entry w, entry x, entry y.

---

Entry w
Computed, not measured: a relaxed structure of CdNiCl3 at the GGA-PBE level of DFT.

Unit cell a=5.1545 b=5.1545 c=5.1545 alpha=90.00 beta=90.00 gamma=90.00
With the nearest neighbours (Å) after each atom.
Positions (direct):
Cd1 0.0000 0.0000 0.0000  6 Cl 2.58
Ni1 0.5000 0.5000 0.5000  12 Cl 3.64
Cl1 0.0000 0.0000 0.5000  2 Cd 2.58
Cl2 0.0000 0.5000 0.0000  2 Cd 2.58
Cl3 0.5000 0.0000 0.0000  2 Cd 2.58

## Properties
Its density of states at the Fermi level is 22.97 states/eV/cell.

---

Entry x
Computed, not measured: a relaxed structure of CdNiCl3 at the GGA-PBE level of DFT.

Unit cell a=4.6808 b=4.6808 c=4.6808 alpha=90.00 beta=90.00 gamma=90.00
With the nearest neighbours (Å) after each atom.
Positions (direct):
Cd1 0.0000 0.0000 0.0000  12 Cl 3.31
Ni1 0.5000 0.5000 0.5000  6 Cl 2.34
Cl1 0.0000 0.5000 0.5000  2 Ni 2.34
Cl2 0.5000 0.0000 0.5000  2 Ni 2.34
Cl3 0.5000 0.5000 0.0000  2 Ni 2.34

## Properties
Its density of states at the Fermi level is 1.97 states/eV/cell.

---

Which structure is most stable, and how do the rest compare? From most to least stable: entry x, entry w.

---

Entry w
Computed, not measured: a relaxed structure of CdNiS2Cl at the GGA-PBE level of DFT.

Unit cell a=4.9932 b=4.9932 c=5.1185 alpha=90.00 beta=90.00 gamma=90.00
With the nearest neighbours (Å) after each atom.
Positions (direct):
Cd1 0.0000 0.0000 0.0000  4 S 2.50, 2 Cl 2.56
Ni1 0.5000 0.5000 0.5000  4 Cl 3.53, 8 S 3.58
S1 0.0000 0.5000 0.0000  2 Cd 2.50
S2 0.5000 0.0000 0.0000  2 Cd 2.50
Cl1 0.0000 0.0000 0.5000  2 Cd 2.56

## Properties
Its density of states at the Fermi level is 8.79 states/eV/cell.

---

Entry x
Computed, not measured: a relaxed structure of CdNiS2Cl at the GGA-PBE level of DFT.

Unit cell a=4.5440 b=4.5440 c=4.6226 alpha=90.00 beta=90.00 gamma=90.00
With the nearest neighbours (Å) after each atom.
Positions (direct):
Cd1 0.0000 0.0000 0.0000  4 Cl 3.21, 8 S 3.24
Ni1 0.5000 0.5000 0.5000  4 S 2.27, 2 Cl 2.31
S1 0.0000 0.5000 0.5000  2 Ni 2.27
S2 0.5000 0.0000 0.5000  2 Ni 2.27
Cl1 0.5000 0.5000 0.0000  2 Ni 2.31

## Properties
Its density of states at the Fermi level is 4.82 states/eV/cell.

---

Which structure is most stable, and how do the rest compare? From most to least stable: entry x, entry w.

---

Entry w
Computed, not measured: a relaxed structure of CdNiSnCl2 at the GGA-PBE level of DFT.

Unit cell a=5.3314 b=5.3314 c=5.6577 alpha=90.00 beta=90.00 gamma=90.00
With the nearest neighbours (Å) after each atom.
Positions (direct):
Cd1 0.0000 0.0000 0.0000  2 Sn 2.83
Ni1 0.5000 0.5000 0.0000  4 Cd 3.77, 8 Cl 3.89
Sn1 0.0000 0.0000 0.5000  4 Cl 2.67, 2 Cd 2.83
Cl1 0.0000 0.5000 0.5000  2 Sn 2.67
Cl2 0.5000 0.0000 0.5000  2 Sn 2.67

## Properties
Its density of states at the Fermi level is 6.82 states/eV/cell.

---

Entry x
Computed, not measured: a relaxed structure of CdNiSnCl2 at the GGA-PBE level of DFT.

Unit cell a=5.4254 b=5.4254 c=5.1064 alpha=90.00 beta=90.00 gamma=90.00
With the nearest neighbours (Å) after each atom.
Positions (direct):
Cd1 0.0000 0.0000 0.0000  8 Cl 3.73, 4 Ni 3.84
Ni1 0.5000 0.5000 0.0000  2 Sn 2.55
Sn1 0.5000 0.5000 0.5000  2 Ni 2.55, 4 Cl 2.71
Cl1 0.0000 0.5000 0.5000  2 Sn 2.71
Cl2 0.5000 0.0000 0.5000  2 Sn 2.71

## Properties
Its density of states at the Fermi level is 23.54 states/eV/cell.

---

Which structure is most stable, and how do the rest compare? From most to least stable: entry x, entry w.

---

Entry w
Computed, not measured: a relaxed structure of CdCl3O at the GGA-PBE level of DFT.

Unit cell a=5.1943 b=5.1943 c=5.1943 alpha=90.00 beta=90.00 gamma=90.00
With the nearest neighbours (Å) after each atom.
Positions (direct):
Cd1 0.0000 0.0000 0.0000  6 Cl 2.60
Cl1 0.0000 0.0000 0.5000  2 Cd 2.60
Cl2 0.0000 0.5000 0.0000  2 Cd 2.60
Cl3 0.5000 0.0000 0.0000  2 Cd 2.60
O1 0.5000 0.5000 0.5000  12 Cl 3.67

## Properties
Its density of states at the Fermi level is 11.44 states/eV/cell.

---

Entry x
Computed, not measured: a relaxed structure of CdCl3O at the GGA-PBE level of DFT.

Unit cell a=4.5595 b=4.5595 c=4.5595 alpha=90.00 beta=90.00 gamma=90.00
With the nearest neighbours (Å) after each atom.
Positions (direct):
Cd1 0.0000 0.0000 0.0000  12 Cl 3.22
Cl1 0.0000 0.5000 0.5000  2 O 2.28
Cl2 0.5000 0.0000 0.5000  2 O 2.28
Cl3 0.5000 0.5000 0.0000  2 O 2.28
O1 0.5000 0.5000 0.5000  6 Cl 2.28

## Properties
Its density of states at the Fermi level is 1.81 states/eV/cell.

---

Which structure is most stable, and how do the rest compare? From most to least stable: entry w, entry x.

---

Entry w
Computed, not measured: a relaxed structure of CdP2ClO at the GGA-PBE level of DFT.

Unit cell a=3.9131 b=3.9131 c=6.2470 alpha=90.00 beta=90.00 gamma=90.00
With the nearest neighbours (Å) after each atom.
Positions (direct):
Cd1 0.0000 0.0000 0.0000  4 Cl 2.77
P1 0.0000 0.5000 0.5000  2 O 1.96
P2 0.5000 0.0000 0.5000  2 O 1.96
Cl1 0.5000 0.5000 0.0000  4 Cd 2.77
O1 0.5000 0.5000 0.5000  4 P 1.96

## Properties
Its density of states at the Fermi level is 1.03 states/eV/cell.

---

Entry x
Computed, not measured: a relaxed structure of CdP2ClO at the GGA-PBE level of DFT.

Unit cell a=5.1024 b=5.1024 c=4.0798 alpha=90.00 beta=90.00 gamma=90.00
With the nearest neighbours (Å) after each atom.
Positions (direct):
Cd1 0.0000 0.0000 0.0000  2 O 2.04
P1 0.0000 0.5000 0.0000  2 Cd 2.55
P2 0.5000 0.0000 0.0000  2 Cd 2.55
Cl1 0.5000 0.5000 0.5000  8 P 3.27, 4 O 3.61
O1 0.0000 0.0000 0.5000  2 Cd 2.04

## Properties
Its density of states at the Fermi level is 4.94 states/eV/cell.

---

Which structure is most stable, and how do the rest compare? From most to least stable: entry w, entry x.

---

Entry w
Computed, not measured: a relaxed structure of CdSCl2O at the GGA-PBE level of DFT.

Unit cell a=4.6130 b=4.6130 c=4.2257 alpha=90.00 beta=90.00 gamma=90.00
With the nearest neighbours (Å) after each atom.
Positions (direct):
Cd1 0.0000 0.0000 0.0000  8 Cl 3.13, 4 S 3.26
S1 0.5000 0.5000 0.0000  2 O 2.11
Cl1 0.0000 0.5000 0.5000  2 O 2.31
Cl2 0.5000 0.0000 0.5000  2 O 2.31
O1 0.5000 0.5000 0.5000  2 S 2.11, 4 Cl 2.31

## Properties
Its density of states at the Fermi level is 1.61 states/eV/cell.

---

Entry x
Computed, not measured: a relaxed structure of CdSCl2O at the GGA-PBE level of DFT.

Unit cell a=5.2011 b=5.2011 c=5.3430 alpha=90.00 beta=90.00 gamma=90.00
With the nearest neighbours (Å) after each atom.
Positions (direct):
Cd1 0.0000 0.0000 0.0000  4 Cl 2.60, 2 S 2.67
S1 0.0000 0.0000 0.5000  2 Cd 2.67
Cl1 0.0000 0.5000 0.0000  2 Cd 2.60
Cl2 0.5000 0.0000 0.0000  2 Cd 2.60
O1 0.5000 0.5000 0.5000  4 S 3.68, 8 Cl 3.73

## Properties
Its density of states at the Fermi level is 8.14 states/eV/cell.

---

Which structure is most stable, and how do the rest compare? From most to least stable: entry w, entry x.